Version one
First-principles (SCAN) data for a PBEsol-optimized structure of Mg2FeCl, as listed in the Alexandria database.

Structure (POSCAR):
```
Mg2FeCl
1.0
2.9911 0.0000 0.0000
0.0000 3.1054 0.0188
0.0000 -0.0427 7.6854
Mg Cl Fe
2 1 1
Cartesian
0.0000 -0.0321 5.9560
0.0000 3.0949 1.7482
1.4956 -0.0213 3.8427
1.4956 1.5527 0.0094
```


Version two
First-principles (SCAN) data for a PBEsol-optimized structure of Mg2FeCl, as listed in the Alexandria database.

Structure (POSCAR):
```
Mg2FeCl
1.0
3.0129 0.0000 0.0000
0.0000 4.7613 0.0000
-1.5065 -2.3807 5.0714
Mg Fe Cl
2 1 1
Cartesian
1.5065 0.0000 2.6285
1.5065 2.3807 4.6101
0.0000 2.3807 2.3609
1.5065 2.3807 0.5433
```


What should be chosen as the least stable of them? Choose version two.


Version one
First-principles (SCAN) data for a PBEsol-optimized structure of Mn2FeCl, as listed in the Alexandria database.

Structure (POSCAR):
```
Mn2FeCl
1.0
-1.4147 -0.3383 2.2385
0.4429 -2.6299 -0.1176
5.4249 0.7552 3.5427
Cl Mn Fe
1 2 1
Cartesian
-0.4859 -1.4841 1.0604
4.0312 0.5612 2.6325
1.3937 0.1940 0.9102
2.2266 -1.1065 2.8318
```


Version two
First-principles (SCAN) data for a PBEsol-optimized structure of Mn2FeCl, as listed in the Alexandria database.

Structure (POSCAR):
```
Mn2FeCl
1.0
2.7002 0.0000 0.0000
0.0000 2.7002 0.0000
0.0000 0.0000 6.5459
Cl Mn Fe
1 2 1
Cartesian
0.0000 0.0000 3.2669
0.0000 0.0000 6.5248
1.3501 1.3501 1.5953
1.3501 1.3501 4.9777
```


Version three
First-principles (SCAN) data for a PBEsol-optimized structure of Mn2FeCl, as listed in the Alexandria database.

Structure (POSCAR):
```
Mn2FeCl
1.0
2.6749 0.0000 0.0000
0.0000 4.0908 0.0000
0.0000 0.0000 4.0908
Cl Fe Mn
1 1 2
Cartesian
1.3374 2.0454 2.0454
1.3374 0.0000 0.0000
0.0000 0.0000 2.0454
0.0000 2.0454 0.0000
```


What should be chosen as the least stable of them? Choose version three.


Version one
First-principles (SCAN) data for a PBEsol-optimized structure of FeNi2Cl, as listed in the Alexandria database.

Structure (POSCAR):
```
FeNi2Cl
1.0
2.9620 0.0000 0.0000
0.0000 2.9620 0.0000
0.0000 0.0000 5.7741
Cl Fe Ni
1 1 2
Cartesian
1.4810 1.4810 0.0000
1.4810 1.4810 2.8871
0.0000 0.0000 4.1217
0.0000 0.0000 1.6524
```


Version two
First-principles (SCAN) data for a PBEsol-optimized structure of FeNi2Cl, as listed in the Alexandria database.

Structure (POSCAR):
```
FeNi2Cl
1.0
2.8096 0.0000 0.0000
0.0000 3.0661 0.0444
0.0000 -0.0735 6.2436
Ni Fe Cl
2 1 1
Cartesian
1.4048 1.5033 1.2651
0.0000 2.9837 6.2519
1.4048 1.4671 5.0495
0.0000 1.5274 3.1534
```


What should be chosen as the least stable of them? Choose version one.


Version one
First-principles (SCAN) data for a PBEsol-optimized structure of FeOsCl2, as listed in the Alexandria database.

Structure (POSCAR):
```
FeOsCl2
1.0
2.9680 0.0000 0.0000
0.0000 4.3200 0.0000
0.0000 0.0000 4.3200
Cl Fe Os
2 1 1
Cartesian
0.0000 2.1600 0.0000
0.0000 0.0000 2.1600
1.4840 2.1600 2.1600
1.4840 0.0000 0.0000
```


Version two
First-principles (SCAN) data for a PBEsol-optimized structure of FeOsCl2, as listed in the Alexandria database.

Structure (POSCAR):
```
FeOsCl2
1.0
-1.8620 0.6701 -1.9807
-0.9352 -0.0679 2.8351
1.9098 7.7155 0.8148
Cl Fe Os
2 1 1
Cartesian
0.4973 2.0091 0.2122
1.4125 5.7064 0.6026
0.0239 4.1928 -0.5830
-0.9310 0.3350 -0.9904
```


What should be chosen as the least stable of them? Choose version one.


Version one
First-principles (SCAN) data for a PBEsol-optimized structure of FeOs2Cl, as listed in the Alexandria database.

Structure (POSCAR):
```
FeOs2Cl
1.0
-2.9798 2.4010 1.9212
-1.6433 -1.2285 3.7584
0.9655 2.1616 3.5680
Os Fe Cl
2 1 1
Cartesian
0.0000 0.0000 0.0000
-2.7432 2.5005 6.9356
-0.9144 0.8335 2.3119
-1.8288 1.6670 4.6237
```


Version two
First-principles (SCAN) data for a PBEsol-optimized structure of FeOs2Cl, as listed in the Alexandria database.

Structure (POSCAR):
```
FeOs2Cl
1.0
-0.1138 1.8368 2.0528
-1.7131 -0.4078 2.1213
5.2926 -3.6072 5.3723
Cl Fe Os
1 1 2
Cartesian
1.7329 -1.0891 4.7732
0.0000 0.0000 0.0000
0.7972 -0.4967 2.3399
2.6685 -1.6816 7.2064
```


Version three
First-principles (SCAN) data for a PBEsol-optimized structure of FeOs2Cl, as listed in the Alexandria database.

Structure (POSCAR):
```
FeOs2Cl
1.0
-2.4926 -0.4015 -1.1736
-0.4375 -3.7247 2.2032
-0.4346 4.2336 2.7774
Cl Fe Os
1 1 2
Cartesian
-1.4715 -2.0557 0.5260
-1.0885 -0.8685 2.6090
-2.2470 0.9426 1.1473
-0.0227 0.0260 0.0394
```


What should be chosen as the least stable of them? Choose version one.


Version one
First-principles (SCAN) data for a PBEsol-optimized structure of FeOs2Cl, as listed in the Alexandria database.

Structure (POSCAR):
```
FeOs2Cl
1.0
-1.8132 -0.3402 2.0715
1.8245 -4.1766 0.6831
2.8977 3.9889 1.4483
Os Fe Cl
2 1 1
Cartesian
1.4545 -0.2640 2.1015
1.4488 1.9944 0.7241
-0.9066 -0.1701 1.0358
0.9123 -2.0883 0.3416
```


Version two
First-principles (SCAN) data for a PBEsol-optimized structure of FeOs2Cl, as listed in the Alexandria database.

Structure (POSCAR):
```
FeOs2Cl
1.0
2.8267 0.0000 0.0000
0.0000 2.8258 0.0000
0.0000 0.0000 6.8850
Os Fe Cl
2 1 1
Cartesian
0.0000 0.0000 1.9573
0.0000 0.0000 4.9277
1.4134 1.4129 3.4425
1.4134 1.4129 0.0000
```


What should be chosen as the least stable of them? Choose version one.


Version one
First-principles (SCAN) data for a PBEsol-optimized structure of Fe2OsCl, as listed in the Alexandria database.

Structure (POSCAR):
```
Fe2OsCl
1.0
-2.0479 1.6954 2.4066
0.0597 -2.9071 2.0988
4.4412 2.0565 -0.3414
Fe Cl Os
2 1 1
Cartesian
0.0000 0.0000 0.0000
0.6996 1.5730 2.1590
1.7534 -0.7283 2.0051
-0.9941 -0.6059 2.2527
```


Version two
First-principles (SCAN) data for a PBEsol-optimized structure of Fe2OsCl, as listed in the Alexandria database.

Structure (POSCAR):
```
Fe2OsCl
1.0
2.7530 0.0000 0.0000
1.3765 2.3842 0.0000
1.3765 0.7947 7.7809
Cl Os Fe
1 1 2
Cartesian
0.0000 0.0000 0.0000
2.7530 1.5895 3.8904
1.3765 0.7947 1.8749
4.1295 2.3842 5.9060
```


What should be chosen as the least stable of them? Choose version one.